(1)
P6Pb10O25: optimized geometry, PBE.

Uncorrected formation energy in eV per atom: -1.865

```
P6Pb10O25
1.0
10.037 0.000 0.000
0.000 7.485 0.000
-0.036 0.000 17.360
P Pb O
12 20 50
direct
0.033 0.000 0.061
0.073 0.998 0.454
0.136 0.998 0.736
0.361 0.499 0.767
0.413 0.499 0.056
0.464 0.498 0.432
0.536 0.998 0.568
0.587 0.999 0.944
0.639 0.999 0.233
0.864 0.498 0.264
0.927 0.498 0.546
0.967 0.500 0.939
0.017 0.998 0.247
0.110 0.498 0.378
0.120 0.499 0.120
0.258 0.249 0.916
0.258 0.750 0.919
0.259 0.742 0.582
0.260 0.254 0.583
0.357 0.998 0.364
0.364 0.999 0.137
0.492 0.997 0.749
0.508 0.497 0.251
0.636 0.499 0.863
0.643 0.498 0.636
0.740 0.754 0.417
0.741 0.242 0.418
0.742 0.250 0.081
0.742 0.749 0.084
0.880 0.999 0.880
0.890 0.998 0.622
0.983 0.498 0.753
0.031 0.168 0.114
0.031 0.832 0.114
0.056 0.832 0.707
0.058 0.165 0.707
0.074 0.497 0.573
0.078 0.999 0.545
0.102 0.500 0.987
0.150 0.166 0.425
0.151 0.830 0.426
0.152 0.000 0.005
0.157 0.998 0.825
0.230 0.502 0.816
0.246 0.996 0.249
0.277 0.997 0.696
0.330 0.498 0.679
0.332 0.334 0.086
0.332 0.667 0.083
0.344 0.499 0.488
0.401 0.997 0.523
0.416 0.496 0.966
0.442 0.329 0.791
0.443 0.000 0.911
0.445 0.667 0.789
0.460 0.332 0.377
0.463 0.666 0.378
0.537 0.166 0.622
0.540 0.832 0.623
0.555 0.167 0.211
0.557 0.500 0.089
0.558 0.829 0.209
0.584 0.996 0.034
0.599 0.497 0.477
0.656 0.999 0.512
0.668 0.167 0.917
0.668 0.834 0.914
0.670 0.998 0.321
0.723 0.497 0.304
0.754 0.496 0.751
0.770 0.002 0.184
0.843 0.498 0.175
0.848 0.500 0.995
0.849 0.330 0.574
0.850 0.666 0.575
0.898 0.000 0.013
0.922 0.499 0.455
0.926 0.997 0.427
0.942 0.665 0.293
0.944 0.332 0.293
0.969 0.332 0.886
0.969 0.668 0.886
```

=====

(2)
KCePbAu: optimized geometry, PBE.

Energy of formation in eV/f.u.: -1.42

```
KCePbAu
1.0
3.713 0.000 0.000
0.000 3.713 0.000
0.000 0.000 9.041
K Ce Pb Au
1 1 1 1
direct
0.000 0.000 0.000
0.000 0.000 0.452
0.500 0.500 0.702
0.500 0.500 0.275
```

=====

(3)
RbZnGaPd2: optimized geometry, PBE.

Energy of formation in eV/f.u.: 1.64

```
RbZnGaPd2
1.0
4.777 0.000 0.000
0.000 4.777 0.000
0.000 0.000 6.356
Rb Zn Ga Pd
1 1 1 2
direct
0.000 0.000 0.000
0.500 0.500 0.000
0.000 0.000 0.500
0.000 0.500 0.500
0.500 0.000 0.500
```

=====

(4)
Y7Er2: optimized geometry, PBE.

Energy of formation in eV/f.u.: 0.26

```
Y7Er2
1.0
6.160 0.000 0.000
-3.080 5.335 0.000
0.000 0.000 8.725
Y Er
7 2
direct
0.000 0.000 0.000
0.000 0.334 0.668
0.000 0.666 0.332
0.334 0.000 0.668
0.334 0.334 0.332
0.666 0.000 0.332
0.666 0.666 0.668
0.333 0.667 0.000
0.667 0.333 0.000
```

=====

What did we get for total magnetization? Answer: 0.000 0.257 0.000 0.000 μB per atom, in the order shown.